Entry from Alexandria: a relaxed structure of Tb2Rh2O7 (PBE). Values from VASP.

Quantum ESPRESSO input file:
```
&SYSTEM
  ibrav = 0, nat = 11, ntyp = 3
/
ATOMIC_SPECIES
Tb 158.93 Tb.upf
Rh 102.91 Rh.upf
O 16.00 O.upf
ATOMIC_POSITIONS angstrom
Tb 4.076 1.718 0.000
Tb 4.076 -1.718 0.000
Rh 1.944 0.000 2.324
Rh 5.958 0.000 2.599
O 1.747 1.503 3.668
O 0.315 0.000 1.278
O 1.747 -1.503 3.668
O 3.951 0.000 2.462
O 6.155 1.503 1.255
O 7.587 0.000 3.646
O 6.155 -1.503 1.255
CELL_PARAMETERS angstrom
4.076 -3.415 0.000
4.076 3.415 0.000
-0.250 0.000 4.923
```

Summary:
uncorrected formation energy = -38.8 kcal/mol of atoms
N(E_F) = 6.28 states/eV/cell
crystal system = monoclinic
E above lowest polymorph = 383 meV per atom